Here is a relaxed CePaZn2O8 crystal from the Alexandria database. Energies are from GGA-PBE.

Cell and atoms, written as CIF:
```
data_CePaZn2O8
_chemical_formula_sum 'Ce2 Pa2 Zn4 O16'
_cell_length_a 6.811
_cell_length_b 6.811
_cell_length_c 7.134
_cell_angle_alpha 90.00
_cell_angle_beta 90.00
_cell_angle_gamma 90.00
_symmetry_space_group_name_H-M 'I -4 m 2'
_symmetry_Int_Tables_number 119
_symmetry_space_group_name_Hall 'I -4 -2'
loop_
_atom_site_label
_atom_site_type_symbol
_atom_site_fract_x
_atom_site_fract_y
_atom_site_fract_z
_atom_site_occupancy
Ce1 Ce 0.000 0.000 0.000 1
Pa1 Pa 0.000 0.500 0.250 1
Zn1 Zn 0.000 0.000 0.500 1
Zn2 Zn 0.000 0.500 0.750 1
O1 O 0.000 0.193 0.300 1
O2 O 0.000 0.318 0.956 1
```

Results
The value obtained for the spin magnetization is 0.0 μB per cell. As for the raw formation energy: -2.08 eV per atom.